Compound: Ag3IrOs
Source: Alexandria
Functional: PBEsol
Structure: optimized geometry

The space group is Pm-3m (No. 221) and the conventional cell measures 4.848, 4.848 and 4.848 Å, with angles of 90.00, 90.00 and 90.00 degrees. Symmetry generates all atoms from Ag at (0.000, 0.000, 0.500), Ir at (0.000, 0.000, 0.000) and Os at (0.500, 0.500, 0.500).

The total magnetization comes out at 0.85 μB/atom.

---

Compound: TlPPb
Source: Alexandria
Functional: PBEsol
Structure: optimized geometry

The space group is P3m1 (No. 156) and the conventional cell measures 5.0857, 5.0857 and 3.2838 Å, with angles of 90.00, 90.00 and 120.00 degrees. Symmetry generates all atoms from Tl at (0.0000, 0.0000, 0.0000), P at (0.3333, 0.6667, 0.6200) and Pb at (0.6667, 0.3333, 0.4822).

The total magnetization comes out at 0.00 μB/atom. As for the energy above the most stable polymorph in this dataset: 224 meV/atom.

---

Compound: YScBe2
Source: Alexandria
Functional: PBEsol
Structure: optimized geometry

The space group is P4mm (No. 99) and the conventional cell measures 2.986, 2.986 and 7.676 Å, with angles of 90.00, 90.00 and 90.00 degrees. Symmetry generates all atoms from Y at (0.000, 0.000, 0.000), Sc at (0.500, 0.500, 0.643), Be at (0.000, 0.000, 0.401) and Be at (0.500, 0.500, 0.277).

The total magnetization comes out at 0.00 μB/atom. As for the energy above the most stable polymorph in this dataset: 153 meV/atom.

---

Compound: NbGaSb2Te
Source: Alexandria
Functional: PBEsol
Structure: optimized geometry

The space group is P4/mmm (No. 123) and the conventional cell measures 5.095, 5.095 and 5.230 Å, with angles of 90.00, 90.00 and 90.00 degrees. Symmetry generates all atoms from Nb at (0.000, 0.000, 0.000), Ga at (0.500, 0.500, 0.500), Sb at (0.000, 0.500, 0.500) and Te at (0.500, 0.500, 0.000).

The total magnetization comes out at 0.57 μB/atom. The uncorrected formation energy is 1007 meV per atom.

---

Compound: SrYN3
Source: Alexandria
Functional: PBEsol
Structure: optimized geometry

The space group is Pm-3m (No. 221) and the conventional cell measures 4.287, 4.287 and 4.287 Å, with angles of 90.00, 90.00 and 90.00 degrees. Symmetry generates all atoms from Sr at (0.000, 0.000, 0.000), Y at (0.500, 0.500, 0.500) and N at (0.000, 0.000, 0.500).

The total magnetization comes out at 0.10 μB/atom. The uncorrected formation energy is 1019 meV per atom.

---

Compound: Be3FeCu
Source: Alexandria
Functional: PBEsol
Structure: optimized geometry

The space group is Pm-3m (No. 221) and the conventional cell measures 3.850, 3.850 and 3.850 Å, with angles of 90.00, 90.00 and 90.00 degrees. Symmetry generates all atoms from Be at (0.000, 0.000, 0.500), Fe at (0.000, 0.000, 0.000) and Cu at (0.500, 0.500, 0.500).

The total magnetization comes out at 0.00 μB/atom.

---

Compound: SnHgO3
Source: Alexandria
Functional: PBEsol
Structure: optimized geometry

The space group is R-3c (No. 167, hexagonal axes) and the conventional cell measures 5.6043, 5.6043 and 13.9953 Å, with angles of 90.00, 90.00 and 120.00 degrees. Symmetry generates all atoms from Sn at (0.0000, 0.0000, 0.0000), Hg at (0.0000, 0.0000, 0.2500) and O at (0.0000, 0.3950, 0.2500).

The total magnetization comes out at 0.00 μB/atom. The uncorrected formation energy is -1088 meV per atom.

---

Compound: LiAlI2N
Source: Alexandria
Functional: PBEsol
Structure: optimized geometry

The space group is P4/mmm (No. 123) and the conventional cell measures 5.748, 5.748 and 3.555 Å, with angles of 90.00, 90.00 and 90.00 degrees. Symmetry generates all atoms from Li at (0.000, 0.000, 0.000), Al at (0.500, 0.500, 0.500), I at (0.000, 0.500, 0.500) and N at (0.500, 0.500, 0.000).

The total magnetization comes out at 0.00 μB/atom. The uncorrected formation energy is -268 meV per atom.

---

Compound: TaSn2F2
Source: Alexandria
Functional: PBEsol
Structure: optimized geometry

The space group is I4/mmm (No. 139) and the conventional cell measures 3.360, 3.360 and 13.878 Å, with angles of 90.00, 90.00 and 90.00 degrees. Symmetry generates all atoms from Ta at (0.000, 0.000, 0.000), Sn at (0.000, 0.000, 0.374) and F at (0.000, 0.500, 0.250).

The total magnetization comes out at 0.00 μB/atom. The uncorrected formation energy is -843 meV per atom.

---

Compound: Re4SiRu
Source: Alexandria
Functional: PBEsol
Structure: optimized geometry

The space group is F-43m (No. 216) and the conventional cell measures 7.170, 7.170 and 7.170 Å, with angles of 90.00, 90.00 and 90.00 degrees. Symmetry generates all atoms from Re at (0.125, 0.125, 0.125), Si at (0.000, 0.000, 0.500) and Ru at (0.250, 0.250, 0.750).

The total magnetization comes out at 0.00 μB/atom. The uncorrected formation energy is 745 meV per atom.

---

Compound: NbRuRhCl2
Source: Alexandria
Functional: PBEsol
Structure: optimized geometry

The space group is P4/mmm (No. 123) and the conventional cell measures 4.611, 4.611 and 4.901 Å, with angles of 90.00, 90.00 and 90.00 degrees. Symmetry generates all atoms from Nb at (0.000, 0.000, 0.000), Ru at (0.500, 0.500, 0.500), Rh at (0.000, 0.000, 0.500) and Cl at (0.000, 0.500, 0.000).

The total magnetization comes out at 0.60 μB/atom. The uncorrected formation energy is 1025 meV per atom.

---

Compound: Dy2Ga3Ni
Source: Alexandria
Functional: PBEsol
Structure: optimized geometry

The space group is P3m1 (No. 156) and the conventional cell measures 4.2353, 4.2353 and 7.2720 Å, with angles of 90.00, 90.00 and 120.00 degrees. Symmetry generates all atoms from Dy at (0.0000, 0.0000, 0.0000), Dy at (0.0000, 0.0000, 0.4618), Ga at (0.3333, 0.6667, 0.2220), Ga at (0.3333, 0.6667, 0.7731), Ga at (0.6667, 0.3333, 0.6873) and Ni at (0.6667, 0.3333, 0.2628).

The total magnetization comes out at 0.00 μB/atom.

---

Compound: ZrTaRh
Source: Alexandria
Functional: PBEsol
Structure: optimized geometry

The space group is F-43m (No. 216) and the conventional cell measures 6.218, 6.218 and 6.218 Å, with angles of 90.00, 90.00 and 90.00 degrees. Symmetry generates all atoms from Zr at (0.000, 0.000, 0.000), Ta at (0.000, 0.000, 0.500) and Rh at (0.250, 0.250, 0.250).

The total magnetization comes out at 0.00 μB/atom.

---

Compound: SrCoSi2
Source: Alexandria
Functional: PBEsol
Structure: optimized geometry

The space group is R-3m (No. 166, hexagonal axes) and the conventional cell measures 3.8820, 3.8820 and 16.6807 Å, with angles of 90.00, 90.00 and 120.00 degrees. Symmetry generates all atoms from Sr at (0.0000, 0.0000, 0.0000), Co at (0.0000, 0.0000, 0.5000) and Si at (0.0000, 0.0000, 0.2020).

The total magnetization comes out at 0.00 μB/atom. The uncorrected formation energy is -550 meV per atom.

---

Compound: SrZn3Rh
Source: Alexandria
Functional: PBEsol
Structure: optimized geometry

The space group is C2/m (No. 12) and the conventional cell measures 10.759, 4.303 and 9.169 Å, with angles of 90.00, 110.38 and 90.00 degrees. Symmetry generates all atoms from Sr at (0.147, 0.000, 0.280), Zn at (0.000, 0.500, 0.000), Zn at (0.000, 0.500, 0.500), Zn at (0.102, 0.000, 0.638), Zn at (0.199, 0.000, 0.936) and Rh at (0.099, 0.500, 0.798).

The total magnetization comes out at 0.00 μB/atom. As for the energy above the most stable polymorph in this dataset: 0 meV/atom.

---

Compound: LiTlRu3
Source: Alexandria
Functional: PBEsol
Structure: optimized geometry

The space group is Pm-3m (No. 221) and the conventional cell measures 4.976, 4.976 and 4.976 Å, with angles of 90.00, 90.00 and 90.00 degrees. Symmetry generates all atoms from Li at (0.000, 0.000, 0.000), Tl at (0.500, 0.500, 0.500) and Ru at (0.000, 0.500, 0.500).

The total magnetization comes out at 1.12 μB/atom.

---

Compound: Mn3CuTc
Source: Alexandria
Functional: PBEsol
Structure: optimized geometry

The space group is Pm-3m (No. 221) and the conventional cell measures 4.345, 4.345 and 4.345 Å, with angles of 90.00, 90.00 and 90.00 degrees. Symmetry generates all atoms from Mn at (0.000, 0.000, 0.500), Cu at (0.000, 0.000, 0.000) and Tc at (0.500, 0.500, 0.500).

The total magnetization comes out at 2.14 μB/atom.

---

Compound: SrTc2P
Source: Alexandria
Functional: PBEsol
Structure: optimized geometry

The space group is P4/mmm (No. 123) and the conventional cell measures 2.998, 2.998 and 7.683 Å, with angles of 90.00, 90.00 and 90.00 degrees. Symmetry generates all atoms from Sr at (0.000, 0.000, 0.000), Tc at (0.500, 0.500, 0.335) and P at (0.000, 0.000, 0.500).

The total magnetization comes out at 0.00 μB/atom. As for the energy above the most stable polymorph in this dataset: 0 meV/atom.

---

Compound: MgOsCl2
Source: Alexandria
Functional: PBEsol
Structure: optimized geometry

The space group is I-42d (No. 122) and the conventional cell measures 4.316, 4.316 and 15.242 Å, with angles of 90.00, 90.00 and 90.00 degrees. Symmetry generates all atoms from Mg at (0.000, 0.000, 0.000), Os at (0.000, 0.000, 0.500) and Cl at (0.223, 0.250, 0.625).

The total magnetization comes out at 0.00 μB/atom. The uncorrected formation energy is 241 meV per atom. As for the energy above the most stable polymorph in this dataset: 220 meV/atom.

---

Compound: CrSiAu2
Source: Alexandria
Functional: PBEsol
Structure: optimized geometry

The space group is Immm (No. 71) and the conventional cell measures 3.093, 3.996 and 10.291 Å, with angles of 90.00, 90.00 and 90.00 degrees. Symmetry generates all atoms from Cr at (0.000, 0.000, 0.000), Si at (0.000, 0.000, 0.500) and Au at (0.000, 0.500, 0.194).

The total magnetization comes out at 0.69 μB/atom. The uncorrected formation energy is 120 meV per atom.

---

The following final energy values (in eV per atom) correspond, in order, to the records above: -3.995; -3.838; -5.153; -4.354; -5.830; -4.173; -5.202; -3.892; -5.828; -10.796; -5.605; -5.019; -9.917; -5.817; -3.250; -4.686; -7.436; -7.308; -4.246; -5.839.
The following DOS at the Fermi energy values (in states/eV/f.u.) correspond, in order, to the records above: 6.27; 1.36; 4.05; 6.09; 4.35; 2.54; 0.46; 3.47; 3.01; 6.56; 5.59; 3.68; 2.22; 3.82; 2.29; 5.86; 8.40; 4.43; 0.83; 1.74.